(1)
Compound: TbP2Ru
Source: the Alexandria database
Functional: PBE
Structure: optimized geometry

Unit cell a=5.310 b=5.310 c=5.310 alpha=44.89 beta=44.89 gamma=44.89
Atoms (fractional coordinates):
Tb1 0.000 0.000 0.000
P1 0.216 0.216 0.216
P2 0.784 0.784 0.784
Ru1 0.500 0.500 0.500

Results
* formation energy from the elements: -0.926 eV per atom
* raw total energy: -7.1076 eV/atom
* Fermi-level density of states: 2.7 states/eV per cell



(2)
Compound: Li2OsAu2
Source: the Alexandria database
Functional: PBE
Structure: optimized geometry

Unit cell a=7.024 b=7.024 c=7.024 alpha=151.46 beta=151.46 gamma=40.80
Atoms (fractional coordinates):
Li1 0.250 0.750 0.500
Li2 0.750 0.250 0.500
Os1 0.000 0.000 0.000
Au1 0.396 0.396 0.000
Au2 0.604 0.604 0.000

Results
* formation energy from the elements: 0.440 eV per atom
* offset from the most stable computed form: 0.361 eV/atom
* raw total energy: -3.8828 eV/atom
* Fermi-level density of states: 2.2 states/eV per cell



(3)
Compound: BaTl2In
Source: the Alexandria database
Functional: PBE
Structure: optimized geometry

Unit cell a=6.691 b=6.691 c=6.691 alpha=45.24 beta=45.24 gamma=45.24
Atoms (fractional coordinates):
Ba1 0.000 0.000 0.000
Tl1 0.227 0.227 0.227
Tl2 0.773 0.773 0.773
In1 0.500 0.500 0.500

Results
* formation energy from the elements: -0.312 eV per atom
* raw total energy: -2.6609 eV/atom
* Fermi-level density of states: 1.3 states/eV per cell



(4)
Compound: OsSeN
Source: the Alexandria database
Functional: PBE
Structure: optimized geometry

Unit cell a=3.673 b=3.692 c=4.279 alpha=89.74 beta=78.01 gamma=89.84
Atoms (fractional coordinates):
Os1 0.000 0.000 0.000
Se1 0.599 0.005 0.625
N1 0.005 0.501 0.039

Results
* formation energy (no corrections): 0.488 eV per atom
* offset from the most stable computed form: 0.091 eV/atom
* raw total energy: -7.1921 eV/atom
* Fermi-level density of states: 1.1 states/eV per cell



(5)
Compound: KCePt2
Source: the Alexandria database
Functional: PBE
Structure: optimized geometry

Unit cell a=3.564 b=3.564 c=8.017 alpha=90.00 beta=90.00 gamma=90.00
Atoms (fractional coordinates):
K1 0.000 0.000 0.000
Ce1 0.000 0.000 0.500
Pt1 0.500 0.500 0.307
Pt2 0.500 0.500 0.693

Results
* formation energy from the elements: -0.646 eV per atom
* raw total energy: -5.4238 eV/atom
* Fermi-level density of states: 4.8 states/eV per cell



(6)
Compound: CaLaCo2
Source: the Alexandria database
Functional: PBE
Structure: optimized geometry

Unit cell a=5.855 b=5.855 c=5.855 alpha=140.10 beta=140.10 gamma=57.70
Atoms (fractional coordinates):
Ca1 0.000 0.000 0.000
La1 0.750 0.250 0.500
Co1 0.250 0.750 0.500
Co2 0.500 0.500 0.000

Results
* formation energy from the elements: 0.382 eV per atom
* raw total energy: -4.9031 eV/atom
* Fermi-level density of states: 4.9 states/eV per cell



(7)
Compound: Y2Ru2C3
Source: the Alexandria database
Functional: PBE
Structure: optimized geometry

Unit cell a=5.936 b=5.936 c=5.636 alpha=112.49 beta=112.49 gamma=33.48
Atoms (fractional coordinates):
Y1 0.109 0.109 0.325
Y2 0.891 0.891 0.675
Ru1 0.341 0.341 0.177
Ru2 0.659 0.659 0.823
C1 0.251 0.251 0.774
C2 0.500 0.500 0.500
C3 0.749 0.749 0.226

Results
* formation energy from the elements: -0.242 eV per atom
* raw total energy: -8.6923 eV/atom
* Fermi-level density of states: 4.0 states/eV per cell



(8)
Compound: LiTa2I
Source: the Alexandria database
Functional: PBE
Structure: optimized geometry

Unit cell a=4.687 b=4.687 c=4.687 alpha=60.00 beta=60.00 gamma=60.00
Atoms (fractional coordinates):
Li1 0.000 0.000 0.000
Ta1 0.250 0.250 0.250
Ta2 0.750 0.750 0.750
I1 0.500 0.500 0.500

Results
* formation energy (no corrections): 1.022 eV per atom
* offset from the most stable computed form: 0.379 eV/atom
* raw total energy: -5.7708 eV/atom
* Fermi-level density of states: 4.0 states/eV per cell



(9)
Compound: RbSnPdN2
Source: the Alexandria database
Functional: PBE
Structure: optimized geometry

Unit cell a=4.957 b=4.957 c=5.446 alpha=90.00 beta=90.00 gamma=90.00
Atoms (fractional coordinates):
Rb1 0.000 0.000 0.000
Sn1 0.500 0.500 0.500
Pd1 0.000 0.000 0.500
N1 0.000 0.500 0.000
N2 0.500 0.000 0.000

Results
* formation energy (no corrections): 2.324 eV per atom
* raw total energy: -3.0387 eV/atom
* Fermi-level density of states: 3.7 states/eV per cell



(10)
Compound: NaLiH2
Source: the Alexandria database
Functional: PBE
Structure: optimized geometry

Unit cell a=3.898 b=3.898 c=3.898 alpha=60.00 beta=60.00 gamma=60.00
Atoms (fractional coordinates):
Na1 0.000 0.000 0.000
Li1 0.500 0.500 0.500
H1 0.250 0.250 0.250
H2 0.750 0.750 0.750

Results
* offset from the most stable computed form: 0.208 eV/atom
* raw total energy: -2.5491 eV/atom
* Fermi-level density of states: 0.0 states/eV per cell



(11)
Compound: LiLaTbSm
Source: the Alexandria database
Functional: PBE
Structure: optimized geometry

Unit cell a=5.619 b=5.619 c=5.619 alpha=60.00 beta=60.00 gamma=60.00
Atoms (fractional coordinates):
Li1 0.000 0.000 0.000
La1 0.750 0.750 0.750
Tb1 0.500 0.500 0.500
Sm1 0.250 0.250 0.250

Results
* formation energy from the elements: 0.163 eV per atom
* raw total energy: -3.8848 eV/atom
* Fermi-level density of states: 4.6 states/eV per cell



(12)
Compound: CdCSe3
Source: the Alexandria database
Functional: PBE
Structure: optimized geometry

Unit cell a=5.317 b=5.317 c=5.317 alpha=90.00 beta=90.00 gamma=90.00
Atoms (fractional coordinates):
Cd1 0.000 0.000 0.000
C1 0.500 0.500 0.500
Se1 0.000 0.000 0.500
Se2 0.000 0.500 0.000
Se3 0.500 0.000 0.000

Results
* formation energy (no corrections): 1.961 eV per atom
* offset from the most stable computed form: 1.039 eV/atom
* raw total energy: -2.1576 eV/atom
* Fermi-level density of states: 7.3 states/eV per cell



(13)
Compound: CaNdDy2Te4
Source: the Alexandria database
Functional: PBE
Structure: optimized geometry

Unit cell a=7.657 b=4.390 c=7.703 alpha=90.00 beta=108.97 gamma=90.00
Atoms (fractional coordinates):
Ca1 0.000 0.000 0.000
Nd1 0.000 0.500 0.500
Dy1 0.500 0.000 0.500
Dy2 0.500 0.500 0.000
Te1 0.257 0.500 0.249
Te2 0.259 0.000 0.757
Te3 0.741 0.000 0.243
Te4 0.743 0.500 0.751

Results
* formation energy (no corrections): -1.399 eV per atom
* raw total energy: -4.9662 eV/atom
* Fermi-level density of states: 3.6 states/eV per cell



(14)
Compound: TlZnAg2
Source: the Alexandria database
Functional: PBE
Structure: optimized geometry

Unit cell a=5.691 b=5.691 c=5.691 alpha=145.45 beta=130.14 gamma=62.07
Atoms (fractional coordinates):
Tl1 0.000 0.000 0.000
Zn1 0.255 0.755 0.500
Ag1 0.476 0.476 0.000
Ag2 0.727 0.227 0.500

Results
* formation energy from the elements: 0.143 eV per atom
* raw total energy: -2.1931 eV/atom
* Fermi-level density of states: 1.0 states/eV per cell



(15)
Compound: RbLi2MgSn
Source: the Alexandria database
Functional: PBE
Structure: optimized geometry

Unit cell a=5.494 b=5.494 c=5.608 alpha=90.00 beta=90.00 gamma=90.00
Atoms (fractional coordinates):
Rb1 0.000 0.000 0.000
Li1 0.000 0.500 0.500
Li2 0.500 0.000 0.500
Mg1 0.500 0.500 0.000
Sn1 0.500 0.500 0.500

Results
* formation energy from the elements: -0.071 eV per atom
* raw total energy: -2.1495 eV/atom
* Fermi-level density of states: 1.7 states/eV per cell



(16)
Compound: InPW2
Source: the Alexandria database
Functional: PBE
Structure: optimized geometry

Unit cell a=3.108 b=3.547 c=6.212 alpha=90.00 beta=99.75 gamma=90.00
Atoms (fractional coordinates):
In1 0.000 0.000 0.000
P1 0.000 0.000 0.500
W1 0.368 0.500 0.701
W2 0.632 0.500 0.299

Results
* formation energy from the elements: 0.429 eV per atom
* offset from the most stable computed form: 0.341 eV/atom
* raw total energy: -8.0845 eV/atom
* Fermi-level density of states: 2.4 states/eV per cell



(17)
Compound: VCoSb
Source: the Alexandria database
Functional: PBE
Structure: optimized geometry

Unit cell a=4.119 b=4.119 c=4.119 alpha=60.00 beta=60.00 gamma=60.00
Atoms (fractional coordinates):
V1 0.000 0.000 0.000
Co1 0.250 0.250 0.250
Sb1 0.500 0.500 0.500

Results
* formation energy (no corrections): -0.186 eV per atom
* raw total energy: -6.9688 eV/atom
* Fermi-level density of states: 3.7 states/eV per cell



(18)
Compound: Pm4Cd3Sn
Source: the Alexandria database
Functional: PBE
Structure: optimized geometry

Unit cell a=3.821 b=5.413 c=10.924 alpha=90.00 beta=90.00 gamma=90.00
Atoms (fractional coordinates):
Pm1 0.000 0.000 0.000
Pm2 0.000 0.000 0.500
Pm3 0.000 0.500 0.249
Pm4 0.000 0.500 0.751
Cd1 0.500 0.000 0.259
Cd2 0.500 0.000 0.741
Cd3 0.500 0.500 0.500
Sn1 0.500 0.500 0.000

Results
* formation energy from the elements: -0.420 eV per atom
* raw total energy: -3.6386 eV/atom
* Fermi-level density of states: 10.8 states/eV per cell



(19)
Compound: Y2PuGa2Rh5
Source: the Alexandria database
Functional: PBE
Structure: optimized geometry

Unit cell a=9.907 b=9.907 c=3.674 alpha=90.00 beta=90.00 gamma=90.00
Atoms (fractional coordinates):
Y1 0.172 0.328 0.000
Y2 0.328 0.828 0.000
Y3 0.672 0.172 0.000
Y4 0.828 0.672 0.000
Pu1 0.000 0.000 0.000
Pu2 0.500 0.500 0.000
Ga1 0.124 0.624 0.000
Ga2 0.376 0.124 0.000
Ga3 0.624 0.876 0.000
Ga4 0.876 0.376 0.000
Rh1 0.000 0.500 0.500
Rh2 0.070 0.792 0.500
Rh3 0.208 0.070 0.500
Rh4 0.292 0.570 0.500
Rh5 0.430 0.292 0.500
Rh6 0.500 0.000 0.500
Rh7 0.570 0.708 0.500
Rh8 0.708 0.430 0.500
Rh9 0.792 0.930 0.500
Rh10 0.930 0.208 0.500

Results
* formation energy from the elements: -0.752 eV per atom
* raw total energy: -7.7591 eV/atom
* Fermi-level density of states: 25.8 states/eV per cell



(20)
Compound: K3Ce2HgS6
Source: the Alexandria database
Functional: PBE
Structure: optimized geometry

Unit cell a=7.323 b=7.323 c=7.665 alpha=97.77 beta=97.77 gamma=122.67
Atoms (fractional coordinates):
K1 0.000 0.000 0.000
K2 0.342 0.658 0.000
K3 0.658 0.342 0.000
Ce1 0.171 0.829 0.500
Ce2 0.829 0.171 0.500
Hg1 0.500 0.500 0.500
S1 0.068 0.432 0.284
S2 0.248 0.248 0.686
S3 0.432 0.068 0.284
S4 0.568 0.932 0.716
S5 0.752 0.752 0.314
S6 0.932 0.568 0.716

Results
* formation energy (no corrections): -1.400 eV per atom
* raw total energy: -4.7524 eV/atom
* Fermi-level density of states: 6.2 states/eV per cell



(21)
Compound: CsNa2CdAu
Source: the Alexandria database
Functional: PBE
Structure: optimized geometry

Unit cell a=5.917 b=5.917 c=5.479 alpha=90.00 beta=90.00 gamma=90.00
Atoms (fractional coordinates):
Cs1 0.000 0.000 0.000
Na1 0.000 0.500 0.500
Na2 0.500 0.000 0.500
Cd1 0.500 0.500 0.500
Au1 0.500 0.500 0.000

Results
* formation energy from the elements: -0.042 eV per atom
* offset from the most stable computed form: 0.096 eV/atom
* raw total energy: -1.5791 eV/atom
* Fermi-level density of states: 2.3 states/eV per cell



(22)
Compound: TbPaBi2
Source: the Alexandria database
Functional: PBE
Structure: optimized geometry

Unit cell a=5.426 b=5.426 c=3.909 alpha=90.00 beta=90.00 gamma=90.00
Atoms (fractional coordinates):
Tb1 0.000 0.000 0.000
Pa1 0.500 0.500 0.000
Bi1 0.000 0.500 0.500
Bi2 0.500 0.000 0.500

Results
* formation energy from the elements: -0.351 eV per atom
* offset from the most stable computed form: 0.099 eV/atom
* raw total energy: -5.8229 eV/atom
* Fermi-level density of states: 5.5 states/eV per cell



(23)
Compound: Ti8PtC2
Source: the Alexandria database
Functional: PBE
Structure: optimized geometry

Unit cell a=6.278 b=6.278 c=4.354 alpha=96.74 beta=96.74 gamma=112.09
Atoms (fractional coordinates):
Ti1 0.093 0.093 0.798
Ti2 0.163 0.424 0.429
Ti3 0.249 0.751 0.000
Ti4 0.424 0.163 0.429
Ti5 0.576 0.837 0.571
Ti6 0.751 0.249 0.000
Ti7 0.837 0.576 0.571
Ti8 0.907 0.907 0.202
Pt1 0.500 0.500 0.000
C1 0.195 0.805 0.500
C2 0.805 0.195 0.500

Results
* formation energy from the elements: -0.400 eV per atom
* raw total energy: -8.3678 eV/atom
* Fermi-level density of states: 9.8 states/eV per cell



(24)
Compound: CsLi2Sb2
Source: the Alexandria database
Functional: PBE
Structure: optimized geometry

Unit cell a=4.616 b=4.616 c=8.464 alpha=90.00 beta=90.00 gamma=116.30
Atoms (fractional coordinates):
Cs1 0.000 0.000 0.000
Li1 0.167 0.833 0.500
Li2 0.833 0.167 0.500
Sb1 0.500 0.500 0.334
Sb2 0.500 0.500 0.666

Results
* formation energy (no corrections): -0.412 eV per atom
* offset from the most stable computed form: 0.034 eV/atom
* raw total energy: -2.9971 eV/atom
* Fermi-level density of states: 2.1 states/eV per cell



(25)
Compound: Pm2NdNi2
Source: the Alexandria database
Functional: PBE
Structure: optimized geometry

Unit cell a=6.095 b=6.095 c=5.707 alpha=103.97 beta=103.97 gamma=37.37
Atoms (fractional coordinates):
Pm1 0.149 0.149 0.096
Pm2 0.851 0.851 0.904
Nd1 0.500 0.500 0.500
Ni1 0.218 0.218 0.609
Ni2 0.782 0.782 0.391

Results
* formation energy from the elements: -0.152 eV per atom
* offset from the most stable computed form: 0.098 eV/atom
* raw total energy: -5.3188 eV/atom
* Fermi-level density of states: 6.7 states/eV per cell



(26)
Compound: La2AlPd6Au
Source: the Alexandria database
Functional: PBE
Structure: optimized geometry

Unit cell a=12.034 b=12.034 c=12.034 alpha=31.45 beta=31.45 gamma=31.45
Atoms (fractional coordinates):
La1 0.117 0.117 0.117
La2 0.284 0.284 0.284
La3 0.716 0.716 0.716
La4 0.883 0.883 0.883
Al1 0.000 0.000 0.000
Al2 0.500 0.500 0.500
Pd1 0.074 0.668 0.668
Pd2 0.221 0.221 0.645
Pd3 0.221 0.645 0.221
Pd4 0.332 0.332 0.926
Pd5 0.332 0.926 0.332
Pd6 0.355 0.779 0.779
Pd7 0.645 0.221 0.221
Pd8 0.668 0.074 0.668
Pd9 0.668 0.668 0.074
Pd10 0.779 0.355 0.779
Pd11 0.779 0.779 0.355
Pd12 0.926 0.332 0.332
Au1 0.425 0.425 0.425
Au2 0.575 0.575 0.575

Results
* formation energy from the elements: -0.634 eV per atom
* raw total energy: -5.4372 eV/atom
* Fermi-level density of states: 11.0 states/eV per cell